Density functional theory data (PBE with a Hubbard U) for crystalline Ni3IF at its relaxed geometry.

Computed properties:
magnetic moment: 2.00 μB per formula unit
offset from the most stable computed form: 1.105 eV/atom
density of states at the Fermi level: 1.099 states/eV/atom

Geometry as POSCAR:
```
Ni3IF
1.0
4.7109 0.0000 0.0000
0.0000 4.7109 0.0000
0.0000 0.0000 4.7109
I Ni F
1 3 1
Direct
0.0000 0.0000 0.0000
0.0000 0.5000 0.0000
0.0000 0.0000 0.5000
0.5000 0.0000 0.0000
0.5000 0.5000 0.5000
```